Material: UMnIrO6
Method: DFT, PBE+U
State: optimized geometry

Cell and atoms, written as POSCAR:
```
UMnIrO6
1.0
5.240 0.000 0.000
-2.620 4.538 0.000
0.000 0.000 9.482
U Mn Ir O
2 2 2 12
Direct
0.333 0.667 0.250
0.667 0.333 0.750
0.000 0.000 0.000
0.000 0.000 0.500
0.667 0.333 0.250
0.333 0.667 0.750
0.667 0.655 0.130
0.988 0.333 0.130
0.333 0.988 0.630
0.012 0.667 0.870
0.345 0.333 0.370
0.988 0.655 0.370
0.655 0.988 0.870
0.667 0.012 0.370
0.012 0.345 0.630
0.345 0.012 0.130
0.655 0.667 0.630
0.333 0.345 0.870
```

Results
* density of states at the Fermi level: 4.264 states/eV/cell
* total DFT energy (no corrections): -150.3 eV/cell
* crystal system: trigonal
* SG: No. 163